Compound: Cs2ZrHg2I6
Source: Alexandria
Functional: PBE
Structure: optimized geometry

Geometry as POSCAR:
```
Cs2ZrHg2I6
1.0
-0.7443 -8.4531 -3.9936
7.5391 5.4212 -1.3154
0.5308 -1.9637 8.5313
I Hg Zr Cs
6 2 1 2
direct
0.1705 0.1705 0.2905
0.3427 0.0944 0.7187
0.6573 0.9056 0.2813
0.0944 0.3427 0.7187
0.9056 0.6573 0.2813
0.8295 0.8295 0.7095
0.1929 0.8071 0.0000
0.8071 0.1929 0.0000
0.0000 0.0000 0.5000
0.3298 0.6702 0.5000
0.6702 0.3298 0.5000
```

Calculated values
E = -2.80 eV per atom
ΔE_f (raw) = -0.97 eV per atom